This record from Alexandria describes Ag2Bi2SeS3 at its PBEsol-relaxed geometry. The functional is SCAN.

a = 5.5412 Å, b = 5.6648 Å, c = 6.8715 Å
α = 114.34°, β = 113.80°, γ = 90.00°
With the nearest neighbours (Å) after each atom.
Sites, in units of the cell vectors:
Se (0.7581, 0.7581, 0.5162)  3 Ag 2.77-2.81, 3 Bi 2.84-2.94
Bi (0.7463, 0.2464, 0.4927)  4 S 2.77-2.85, 2 Se 2.84
Bi (0.4959, 0.4958, 0.9916)  5 S 2.77-2.83, 1 Se 2.94
S (0.0002, 0.4999, 0.9999)  3 Bi 2.77-2.85, 3 Ag 2.78-2.83
S (0.4971, 0.9969, 0.9938)  3 Ag 2.77-2.80, 3 Bi 2.80-2.83
S (0.2465, 0.2468, 0.4937)  3 Ag 2.68-2.83, 3 Bi 2.77-2.80
Ag (0.2478, 0.7477, 0.4955)  2 Se 2.77, 4 S 2.78-2.83
Ag (0.0084, 0.0084, 0.0167)  5 S 2.68-2.83, 1 Se 2.81

Calculated values
- uncorrected energy (eV/atom) = -33.79
- formation energy from raw total energies (eV per atom) = -0.182
- space group = Imm2, No. 44
- density (g/cm³) = 7.623
- crystal system = orthorhombic

This record from Alexandria describes Ag2SnBiS4 at its PBEsol-relaxed geometry. The functional is SCAN.

a = 5.4668 Å, b = 5.4668 Å, c = 6.7225 Å
α = 113.99°, β = 113.99°, γ = 90.00°
With the nearest neighbours (Å) after each atom.
Sites, in units of the cell vectors:
Sn (0.0000, 0.0000, 0.0000)  6 S 2.73-2.74
Ag (0.7500, 0.2500, 0.5000)  6 S 2.70-2.73
Ag (0.5000, 0.5000, 0.0000)  6 S 2.73-2.76
Bi (0.2500, 0.7500, 0.5000)  6 S 2.73-2.80
S (0.2494, 0.2494, 0.4988)  2 Bi 2.73, 3 Ag 2.73-2.76, 1 Sn 2.74
S (0.7506, 0.7506, 0.5012)  3 Ag 2.73-2.76, 2 Bi 2.73, 1 Sn 2.74
S (0.5050, 0.0050, 0.0099)  3 Ag 2.70-2.73, 2 Sn 2.73, 1 Bi 2.80
S (0.9950, 0.4950, 0.9901)  3 Ag 2.70-2.73, 2 Sn 2.73, 1 Bi 2.80

Calculated values
- uncorrected energy (eV/atom) = -27.18
- formation energy from raw total energies (eV per atom) = -0.215
- space group = I-4m2, No. 119
- density (g/cm³) = 6.786
- crystal system = tetragonal

This record from Alexandria describes Zn2AgBiS at its PBEsol-relaxed geometry. The functional is SCAN.

a = 4.6992 Å, b = 4.6992 Å, c = 5.4981 Å
α = 90.00°, β = 90.00°, γ = 90.00°
With the nearest neighbours (Å) after each atom.
Sites, in units of the cell vectors:
Ag (0.0000, 0.0000, 0.0000)  4 Zn 2.35
Bi (0.0000, 0.0000, 0.5000)  2 Ag 2.75
Zn (0.0000, 0.5000, 0.0000)  2 Ag 2.35
Zn (0.5000, 0.0000, 0.0000)  2 Ag 2.35
S (0.5000, 0.5000, 0.5000)  4 Bi 3.32, 8 Zn 3.62

Calculated values
- uncorrected energy (eV/atom) = -28.83
- formation energy from raw total energies (eV per atom) = 0.491
- space group = P4/mmm, No. 123
- density (g/cm³) = 6.561
- crystal system = tetragonal

This record from Alexandria describes AgBiSb2Te at its PBEsol-relaxed geometry. The functional is SCAN.

a = 5.2652 Å, b = 5.2652 Å, c = 5.3328 Å
α = 90.00°, β = 90.00°, γ = 90.00°
With the nearest neighbours (Å) after each atom.
Sites, in units of the cell vectors:
Sb (0.5000, 0.0000, 0.0000)  2 Ag 2.63
Sb (0.0000, 0.5000, 0.0000)  2 Ag 2.63
Ag (0.0000, 0.0000, 0.0000)  4 Sb 2.63, 2 Te 2.67
Te (0.0000, 0.0000, 0.5000)  2 Ag 2.67
Bi (0.5000, 0.5000, 0.5000)  4 Te 3.72, 8 Sb 3.75

Calculated values
- uncorrected energy (eV/atom) = -43.75
- formation energy from raw total energies (eV per atom) = 0.590
- space group = P4/mmm, No. 123
- density (g/cm³) = 7.728
- crystal system = tetragonal

This record from Alexandria describes ScAgBi3 at its PBEsol-relaxed geometry. The functional is SCAN.

a = 5.3839 Å, b = 5.3839 Å, c = 5.3839 Å
α = 90.00°, β = 90.00°, γ = 90.00°
With the nearest neighbours (Å) after each atom.
Sites, in units of the cell vectors:
Bi (0.5000, 0.0000, 0.0000)  2 Ag 2.69
Bi (0.0000, 0.5000, 0.0000)  2 Ag 2.69
Bi (0.0000, 0.0000, 0.5000)  2 Ag 2.69
Ag (0.0000, 0.0000, 0.0000)  6 Bi 2.69
Sc (0.5000, 0.5000, 0.5000)  12 Bi 3.81

Calculated values
- uncorrected energy (eV/atom) = -55.78
- space group = Pm-3m, No. 221
- density (g/cm³) = 8.297
- crystal system = cubic

This record from Alexandria describes Sc3AgBi at its PBEsol-relaxed geometry. The functional is SCAN.

a = 5.0875 Å, b = 5.0875 Å, c = 5.0875 Å
α = 90.00°, β = 90.00°, γ = 90.00°
With the nearest neighbours (Å) after each atom.
Sites, in units of the cell vectors:
Sc (0.0000, 0.0000, 0.5000)  2 Ag 2.54
Sc (0.0000, 0.5000, 0.0000)  2 Ag 2.54
Sc (0.5000, 0.0000, 0.0000)  2 Ag 2.54
Ag (0.0000, 0.0000, 0.0000)  6 Sc 2.54
Bi (0.5000, 0.5000, 0.5000)  12 Sc 3.60

Calculated values
- uncorrected energy (eV/atom) = -30.60
- space group = Pm-3m, No. 221
- density (g/cm³) = 5.696
- crystal system = cubic

Which of these has the highest uncorrected energy? Ag2SnBiS4